The following is a DFT calculation (PBE) of a relaxed VRu3Pt crystal.

Structure (extended XYZ):
```
5
Lattice="4.403 0.000 0.000 0.000 4.403 0.000 0.000 0.000 4.403" Properties=species:S:1:pos:R:3 pbc="T T T"
V 0.000 0.000 0.000
Ru 0.000 0.000 2.201
Ru 0.000 2.201 0.000
Ru 2.201 0.000 0.000
Pt 2.201 2.201 2.201
```

Output
VASP energy (eV for the cell shown): -37.17
Magnetic moment (μB/cell): 2.36
D(E_F) (states/eV/f.u.): 8.5
ΔE_f (eV/atom): 1.163

The following is a DFT calculation (PBE) of a relaxed AcMg6 crystal.

Structure (extended XYZ):
```
7
Lattice="-3.882 3.882 3.882 3.882 -3.882 3.882 3.882 3.882 -3.882" Properties=species:S:1:pos:R:3 pbc="T T T"
Ac 0.000 0.000 0.000
Mg 3.882 1.941 0.000
Mg 3.882 0.000 1.941
Mg 1.941 3.882 0.000
Mg 1.941 0.000 3.882
Mg 0.000 3.882 1.941
Mg 0.000 1.941 3.882
```

Output
VASP energy (eV for the cell shown): -10.07
Magnetic moment (μB/cell): 0.00
D(E_F) (states/eV/f.u.): 5.3
ΔE_f (eV/atom): 0.515

The following is a DFT calculation (PBE) of a relaxed NaAgSe4 crystal.

Structure (extended XYZ):
```
12
Lattice="-3.032 3.032 9.625 3.032 -3.032 9.625 3.032 3.032 -9.625" Properties=species:S:1:pos:R:3 pbc="T T T"
Na 3.032 1.516 2.406
Na 0.000 1.516 7.219
Ag 3.032 -1.516 7.219
Ag 0.000 4.548 2.406
Se 1.880 1.516 -0.508
Se 4.184 1.516 -0.508
Se 0.000 0.364 4.304
Se 3.032 0.364 5.321
Se 0.000 2.668 4.304
Se 3.032 2.668 5.321
Se -1.152 1.516 10.133
Se 1.152 1.516 10.133
```

Output
VASP energy (eV for the cell shown): -37.97
Magnetic moment (μB/cell): 0.00
D(E_F) (states/eV/f.u.): 1.4
Formation energy without anion corrections (meV per atom): -146

The following is a DFT calculation (PBE) of a relaxed CsZnIn3 crystal.

Structure (extended XYZ):
```
20
Lattice="8.475 -5.110 0.000 8.475 5.110 0.000 -1.492 0.000 7.073" Properties=species:S:1:pos:R:3 pbc="T T T"
Cs 7.356 5.017 5.305
Cs 8.102 1.523 1.768
Cs 7.356 -1.523 5.305
Cs 8.102 -5.017 1.768
Zn 5.991 1.761 5.057
Zn 8.721 1.761 5.553
Zn 6.737 -1.761 1.520
Zn 9.467 -1.761 2.016
In 2.234 1.752 4.203
In 3.033 1.698 0.656
In 4.728 0.026 2.873
In 3.982 -0.026 6.410
In 2.288 -1.698 4.193
In 2.980 -1.752 0.666
In 12.478 1.752 6.407
In 13.170 1.698 2.880
In 11.476 0.026 0.663
In 10.730 -0.026 4.200
In 12.425 -1.698 6.417
In 13.224 -1.752 2.870
```

Output
VASP energy (eV for the cell shown): -41.63
Magnetic moment (μB/cell): 0.00
D(E_F) (states/eV/f.u.): 2.5
ΔE_f (eV/atom): -0.013

The following is a DFT calculation (PBE) of a relaxed TeAs2 crystal.

Structure (extended XYZ):
```
6
Lattice="1.776 -9.208 0.000 1.776 9.208 0.000 0.000 0.000 5.248" Properties=species:S:1:pos:R:3 pbc="T T T"
Te 1.776 7.149 3.936
Te 1.776 -7.149 1.312
As 1.776 5.886 1.312
As 1.776 1.563 3.936
As 1.776 -1.563 1.312
As 1.776 -5.886 3.936
```

Output
VASP energy (eV for the cell shown): -23.37
Magnetic moment (μB/cell): 0.00
D(E_F) (states/eV/f.u.): 1.6
Formation energy without anion corrections (meV per atom): 253

The following is a DFT calculation (PBE) of a relaxed KPtSe2 crystal.

Structure (extended XYZ):
```
8
Lattice="-3.906 3.906 3.528 3.906 -3.906 3.528 3.906 3.906 -3.528" Properties=species:S:1:pos:R:3 pbc="T T T"
K 0.000 0.000 0.000
K 0.000 3.906 1.764
Pt 3.906 0.000 1.764
Pt 0.000 0.000 3.528
Se 1.953 -1.187 2.646
Se 2.719 1.953 0.882
Se 1.953 5.094 -0.882
Se 1.187 1.953 4.409
```

Output
VASP energy (eV for the cell shown): -32.53
Magnetic moment (μB/cell): 0.00
D(E_F) (states/eV/f.u.): 4.8
Formation energy without anion corrections (meV per atom): -539